Record 1
Entry from Alexandria: Ac4GePtSe2 after structural relaxation (GGA-PBE).

a = 7.7681 Å, b = 4.4831 Å, c = 7.9418 Å
α = 90.00°, β = 108.56°, γ = 90.00°
Space group P2/m (No. 10)
Unique sites:
Ac  0.2415  0.0000  0.2348 x2
Ac  0.2500  0.5000  0.7631 x2
Ge  0.5000  0.0000  0.0000 x1
Pt  0.0000  0.5000  0.0000 x1
Se  0.0000  0.0000  0.5000 x1
Se  0.5000  0.5000  0.5000 x1

Results
Its formation energy from raw total energies is -1.40 eV/atom. For the mass density, the calculation gives 8447 kg/m³.


Record 2
Entry from Alexandria: Ac2SiGe3Pt4 after structural relaxation (GGA-PBE).

a = 4.4910 Å, b = 4.4910 Å, c = 10.0934 Å
α = 90.00°, β = 90.00°, γ = 90.00°
Space group P-4m2 (No. 115)
Unique sites:
Ac  0.0000  0.5000  0.2466 x2
Si  0.5000  0.5000  0.0000 x1
Ge  0.0000  0.0000  0.0000 x1
Ge  0.0000  0.5000  0.6281 x2
Pt  0.0000  0.0000  0.5000 x1
Pt  0.0000  0.5000  0.8841 x2
Pt  0.5000  0.5000  0.5000 x1

Results
Its formation energy from raw total energies is -0.96 eV/atom. For the mass density, the calculation gives 12075 kg/m³.


Record 3
Entry from Alexandria: Ac2SiGePt6 after structural relaxation (GGA-PBE).

a = 5.6493 Å, b = 6.6798 Å, c = 6.8484 Å
α = 75.04°, β = 65.71°, γ = 65.07°
Space group P-1 (No. 2)
Unique sites:
Ac  0.2471  0.2107  0.2952 x2
Si  0.0000  0.0000  0.0000 x1
Ge  0.5000  0.5000  0.5000 x1
Pt  0.2358  0.2561  0.7697 x2
Pt  0.2480  0.6290  0.8745 x2
Pt  0.2629  0.7439  0.2299 x2

Results
Its formation energy from raw total energies is -0.94 eV/atom. For the mass density, the calculation gives 13483 kg/m³.


Record 4
Entry from Alexandria: Ac3Si2GePt9 after structural relaxation (GGA-PBE).

a = 6.5610 Å, b = 6.5610 Å, c = 8.7454 Å
α = 90.00°, β = 90.00°, γ = 120.00°
Space group P-3m1 (No. 164)
Unique sites:
Ac  0.0000  0.0000  0.0000 x1
Ac  0.3333  0.6667  0.6676 x2
Si  0.3333  0.6667  0.1821 x2
Ge  0.0000  0.0000  0.5000 x1
Pt  0.0000  0.5000  0.0000 x3
Pt  0.1470  0.2939  0.2893 x6

Results
Its formation energy from raw total energies is -0.82 eV/atom. For the mass density, the calculation gives 13067 kg/m³.


Record 5
Entry from Alexandria: Ac3SiGe6Pt2 after structural relaxation (GGA-PBE).

a = 6.3610 Å, b = 6.3610 Å, c = 8.2308 Å
α = 90.00°, β = 90.00°, γ = 120.00°
Space group P-3m1 (No. 164)
Unique sites:
Ac  0.0000  0.0000  0.0000 x1
Ac  0.3333  0.6667  0.6700 x2
Si  0.0000  0.0000  0.5000 x1
Ge  0.1926  0.3852  0.3065 x6
Pt  0.3333  0.6667  0.0487 x2

Results
Its formation energy from raw total energies is -0.31 eV/atom. For the mass density, the calculation gives 8838 kg/m³.


Record 6
Entry from Alexandria: AcSiGePt6 after structural relaxation (GGA-PBE).

a = 7.7752 Å, b = 8.3750 Å, c = 11.5020 Å
α = 90.00°, β = 90.00°, γ = 90.00°
Space group Imma (No. 74)
Unique sites:
Ac  0.0000  0.2500  0.1453 x4
Si  0.0000  0.0000  0.5000 x4
Ge  0.2500  0.2500  0.7500 x4
Pt  0.0000  0.2500  0.4057 x4
Pt  0.0000  0.2500  0.8782 x4
Pt  0.2389  0.0171  0.6223 x16

Results
Its formation energy from raw total energies is -0.51 eV/atom. For the mass density, the calculation gives 13287 kg/m³.


Record 7
Entry from Alexandria: AcSmGe2Pt5 after structural relaxation (GGA-PBE).

a = 4.4476 Å, b = 4.4476 Å, c = 9.0170 Å
α = 90.00°, β = 90.00°, γ = 90.00°
Space group P4/mmm (No. 123)
Unique sites:
Ac  0.0000  0.0000  0.0000 x1
Sm  0.0000  0.0000  0.5000 x1
Ge  0.5000  0.5000  0.3618 x2
Pt  0.0000  0.5000  0.2398 x4
Pt  0.5000  0.5000  0.0000 x1

Results
For the mass density, the calculation gives 13946 kg/m³. The energy of formation comes out at -845 meV per atom.


Record 8
Entry from Alexandria: Ac2SnGePt6 after structural relaxation (GGA-PBE).

a = 12.2737 Å, b = 5.6308 Å, c = 8.7444 Å
α = 90.00°, β = 131.78°, γ = 90.00°
Space group C2/m (No. 12)
Unique sites:
Ac  0.2470  0.0000  0.2860 x4
Sn  0.0000  0.0000  0.5000 x2
Ge  0.0000  0.5000  0.0000 x2
Pt  0.0075  0.2531  0.7652 x8
Pt  0.2475  0.5000  0.1047 x4

Results
For the mass density, the calculation gives 13382 kg/m³. The energy of formation comes out at -834 meV per atom.


Record 9
Entry from Alexandria: Ac2Sn4GePt3 after structural relaxation (GGA-PBE).

a = 4.7530 Å, b = 4.7530 Å, c = 10.7845 Å
α = 90.00°, β = 90.00°, γ = 90.00°
Space group P-4m2 (No. 115)
Unique sites:
Ac  0.0000  0.5000  0.2456 x2
Sn  0.0000  0.0000  0.5000 x1
Sn  0.0000  0.5000  0.8697 x2
Sn  0.5000  0.5000  0.5000 x1
Ge  0.5000  0.5000  0.0000 x1
Pt  0.0000  0.0000  0.0000 x1
Pt  0.0000  0.5000  0.6253 x2

Results
For the mass density, the calculation gives 10815 kg/m³. The energy of formation comes out at -794 meV per atom.


Record 10
Entry from Alexandria: Ac2Sn3GePt4 after structural relaxation (GGA-PBE).

a = 4.7090 Å, b = 4.7090 Å, c = 10.4855 Å
α = 90.00°, β = 90.00°, γ = 90.00°
Space group P-4m2 (No. 115)
Unique sites:
Ac  0.0000  0.5000  0.2500 x2
Sn  0.0000  0.0000  0.0000 x1
Sn  0.0000  0.5000  0.6271 x2
Ge  0.5000  0.5000  0.0000 x1
Pt  0.0000  0.0000  0.5000 x1
Pt  0.0000  0.5000  0.8813 x2
Pt  0.5000  0.5000  0.5000 x1

Results
For the mass density, the calculation gives 11877 kg/m³. The energy of formation comes out at -892 meV per atom.


Record 11
Entry from Alexandria: Ac3SnGe2Pt9 after structural relaxation (GGA-PBE).

a = 6.6199 Å, b = 6.6199 Å, c = 9.4751 Å
α = 90.00°, β = 90.00°, γ = 120.00°
Space group P-3m1 (No. 164)
Unique sites:
Ac  0.0000  0.0000  0.0000 x1
Ac  0.3333  0.6667  0.7205 x2
Sn  0.0000  0.0000  0.5000 x1
Ge  0.3333  0.6667  0.1789 x2
Pt  0.0000  0.5000  0.0000 x3
Pt  0.1418  0.2836  0.2778 x6

Results
For the mass density, the calculation gives 12472 kg/m³. The energy of formation comes out at -679 meV per atom.


The final energy results, record by record, are as follows: -5.66, -6.13, -6.39, -6.29, -5.11, -6.11, -6.21, -6.14, -5.49, -5.79, -6.01 eV/atom.